# 1
BaTaTc2 (GGA-PBE, relaxed); V = 78.1 Å³ per cell; size of the total moment = 0.00 μB/cell; energy of formation = 1108 meV per atom; E above lowest polymorph = 255 kJ/mol of formula units
1.0
-3.135 -2.248 -3.932
2.269 -3.987 3.050
-2.314 -1.109 1.514
Ba Ta Tc
1 1 2
Direct
0.500 0.000 0.500
0.000 0.500 0.500
0.000 0.000 0.000
0.500 0.500 0.000

***

# 2
SrLaMn (GGA-PBE, relaxed); V = 105.3 Å³ per cell; size of the total moment = 2.60 μB/cell; energy of formation = 579 meV per atom; E above lowest polymorph = 74 kJ/mol of formula units
1.0
-0.491 0.031 5.277
-3.128 -3.549 2.391
2.138 -3.900 2.883
La Mn Sr
1 1 1
Direct
0.500 0.500 0.500
0.750 0.750 0.750
0.000 0.000 0.000